# 1
Here is a relaxed structure of HfTi3Ge2 from the Alexandria database. Energies are from PBE.

Cell: 15.6415 3.6854 7.9550 Å, 90.00 113.67 90.00°
With the nearest neighbours (Å) after each atom.
Space group C2/m (No. 12)
Symmetry-distinct sites (fractional):
Hf 0.1160 0.0000 0.1299 (multiplicity 4)  6 Ge 2.75-2.89
Ti 0.0582 0.0000 0.6696 (multiplicity 4)  3 Ti 2.58-2.79, 3 Ge 2.58-2.75
Ti 0.1487 0.5000 0.4799 (multiplicity 4)  4 Ge 2.63-2.76
Ti 0.1863 0.5000 0.8984 (multiplicity 4)  4 Ge 2.61-2.79, 4 Ti 2.72-2.79
Ge 0.0099 0.5000 0.8417 (multiplicity 4)  4 Ti 2.58-2.76, 1 Ge 2.66, 4 Hf 2.77-2.89
Ge 0.2427 0.0000 0.7194 (multiplicity 4)  7 Ti 2.63-2.79, 2 Hf 2.75

Results
E_form ... -0.493 eV/atom



# 2
Here is a relaxed structure of Fe3CI from the Alexandria database. Energies are from PBE.

Cell: 3.9865 3.9865 3.9865 Å, 90.00 90.00 90.00°
With the nearest neighbours (Å) after each atom.
Space group Pm-3m (No. 221)
Symmetry-distinct sites (fractional):
Fe 0.0000 0.0000 0.5000 (multiplicity 3)  2 C 1.99
C 0.0000 0.0000 0.0000 (multiplicity 1)  6 Fe 1.99
I 0.5000 0.5000 0.5000 (multiplicity 1)  12 Fe 2.82

Results
Polymorph energy (0 for the lowest one) ... 0.000 eV per atom
E_form (uncorrected) ... 0.642 eV/atom



# 3
Here is a relaxed structure of ZrBMoRu2 from the Alexandria database. Energies are from PBE.

Cell: 4.1589 4.1589 4.2513 Å, 90.00 90.00 90.00°
With the nearest neighbours (Å) after each atom.
Space group P4/mmm (No. 123)
Symmetry-distinct sites (fractional):
Zr 0.0000 0.0000 0.0000 (multiplicity 1)  4 Mo 2.94, 8 Ru 2.97
B 0.5000 0.5000 0.5000 (multiplicity 1)  4 Ru 2.08, 2 Mo 2.13
Mo 0.5000 0.5000 0.0000 (multiplicity 1)  2 B 2.13
Ru 0.0000 0.5000 0.5000 (multiplicity 2)  2 B 2.08

Results
E_form ... -0.225 eV/atom



Number 1: E_tot -183.335 eV for the cell shown. Number 2: E_tot -32.953 eV for the cell shown. Number 3: E_tot -45.733 eV for the cell shown.